First-principles (PBE) data for a relaxed structure of LiHgSe2, as listed in the Alexandria database.

The value obtained for the formation energy without anion corrections is -0.33 eV/atom. The volume is 27.18 Å³ per atom.

It has space group R-3m (No. 166, hexagonal axes), with a = 4.0877 Å, b = 4.0877 Å, c = 22.5426 Å, α = 90.00°, β = 90.00° and γ = 120.00°. The inequivalent atoms are Li at (0.0000, 0.0000, 0.0000), Hg at (0.0000, 0.0000, 0.5000) and Se at (0.0000, 0.0000, 0.3901).